# KSr2W (PBE, relaxed)
data_KSr2W
_cell_length_a 3.858
_cell_length_b 3.859
_cell_length_c 11.788
_cell_angle_alpha 70.93
_cell_angle_beta 90.00
_cell_angle_gamma 90.00
_symmetry_space_group_name_H-M 'P 1'
_symmetry_Int_Tables_number 1
_symmetry_space_group_name_Hall 'P 1'
loop_
_atom_site_label
_atom_site_type_symbol
_atom_site_fract_x
_atom_site_fract_y
_atom_site_fract_z
_atom_site_occupancy
Sr1 Sr 0.000 0.918 0.081 1
Sr2 Sr 0.000 0.582 0.419 1
K1 K 0.500 0.750 0.750 1
W1 W 0.500 0.250 0.250 1
# Energy above the most stable polymorph in this dataset (eV/f.u.): 0.00
# Space-group type: P4/mmm, No. 123
# Energy relative to the elements (eV per formula unit): 3.91

=====

# CsRb2HCl6 (PBE, relaxed)
data_CsRb2HCl6
_cell_length_a 7.310
_cell_length_b 7.310
_cell_length_c 8.687
_cell_angle_alpha 65.12
_cell_angle_beta 65.12
_cell_angle_gamma 90.00
_symmetry_space_group_name_H-M 'P 1'
_symmetry_Int_Tables_number 1
_symmetry_space_group_name_Hall 'P 1'
loop_
_atom_site_label
_atom_site_type_symbol
_atom_site_fract_x
_atom_site_fract_y
_atom_site_fract_z
_atom_site_occupancy
Cl1 Cl 0.691 0.309 0.000 1
Cl2 Cl 0.309 0.309 0.000 1
H1 H 0.500 0.500 0.000 1
Cl3 Cl 0.764 0.764 0.471 1
Cs1 Cs 0.000 0.000 0.000 1
Cl4 Cl 0.309 0.691 0.000 1
Cl5 Cl 0.236 0.236 0.529 1
Rb1 Rb 0.250 0.750 0.500 1
Rb2 Rb 0.750 0.250 0.500 1
Cl6 Cl 0.691 0.691 0.000 1
# Space-group type: I4/mmm, No. 139

=====

# SmGaPdPt (PBE, relaxed)
data_SmGaPdPt
_cell_length_a 4.756
_cell_length_b 4.756
_cell_length_c 4.756
_cell_angle_alpha 60.00
_cell_angle_beta 60.00
_cell_angle_gamma 60.00
_symmetry_space_group_name_H-M 'P 1'
_symmetry_Int_Tables_number 1
_symmetry_space_group_name_Hall 'P 1'
loop_
_atom_site_label
_atom_site_type_symbol
_atom_site_fract_x
_atom_site_fract_y
_atom_site_fract_z
_atom_site_occupancy
Pd1 Pd 0.250 0.250 0.250 1
Ga1 Ga 0.500 0.500 0.500 1
Sm1 Sm 0.000 0.000 0.000 1
Pt1 Pt 0.750 0.750 0.750 1
# Energy above the most stable polymorph in this dataset (eV/f.u.): 0.00
# Space-group type: F-43m, No. 216
# Energy relative to the elements (eV per formula unit): -3.13

=====

Number 1: raw total energy -0.248 Ry/atom. Number 2: raw total energy -0.189 Ry/atom. Number 3: raw total energy -0.406 Ry/atom.